GGA+U Fe3OF5, optimized geometry; size of the total moment = 1.00 μB/f.u.; excess energy over the best structure of this formula in the dataset = 238 meV/atom
1.0
4.7626 0.0000 0.0000
0.1133 5.7210 0.0000
0.0870 0.5515 8.0111
Fe O F
6 2 10
Direct
0.0000 0.0000 0.0000 Fe
0.9999 0.3347 0.6601 Fe
0.0001 0.6653 0.3399 Fe
0.4689 0.8423 0.6912 Fe
0.5000 0.5000 0.0000 Fe
0.5311 0.1577 0.3088 Fe
0.3030 0.8002 0.8967 O
0.6970 0.1998 0.1033 O
0.1908 0.3032 0.8819 F
0.2070 0.6356 0.5654 F
0.2116 0.9588 0.2476 F
0.2972 0.4467 0.2520 F
0.3047 0.1245 0.5591 F
0.6953 0.8755 0.4409 F
0.7028 0.5533 0.7480 F
0.7884 0.0412 0.7524 F
0.7930 0.3644 0.4346 F
0.8092 0.6968 0.1181 F